Y2BeIn: optimized geometry, GGA-PBE.

```
4
Lattice="-0.159 -2.353 4.547 -4.263 -2.420 1.483 -0.091 -5.116 0.234" Properties=species:S:1:pos:R:3 pbc="T T T"
Be 0.000 0.000 0.000
Y -3.385 -7.417 4.698
Y -1.128 -2.472 1.566
In -2.257 -4.944 3.132
```

Values from the calculation:
For the formation energy, the calculation gives -155 meV/atom. As for the space group: No. 225. Its offset from the most stable computed form is 65.8 meV per atom. The total energy comes out at -20.0 eV for the cell shown.

***

SrDyAgS3: optimized geometry, GGA-PBE.

```
12
Lattice="4.036 0.000 0.000 0.000 8.215 -0.007 0.000 -2.179 8.673" Properties=species:S:1:pos:R:3 pbc="T T T"
S 3.027 7.081 1.103
S 1.009 5.053 4.203
S 1.009 -1.045 7.563
S 3.027 0.983 4.463
S 1.009 2.760 7.337
S 3.027 3.276 1.329
Sr 1.009 1.111 2.063
Sr 3.027 4.925 6.603
Dy 1.009 5.175 1.422
Dy 3.027 0.861 7.244
Ag 3.027 6.516 3.562
Ag 1.009 -0.481 5.103
```

Values from the calculation:
As for the space group: No. 11. The calculation puts the formation energy from raw total energies at -926 kJ/mol of formula units. The total energy comes out at -62.2 eV for the cell shown.

***

PmGdTlSi: optimized geometry, GGA-PBE.

```
4
Lattice="5.265 0.000 0.000 2.633 4.560 0.000 2.633 1.520 4.299" Properties=species:S:1:pos:R:3 pbc="T T T"
Tl 7.898 4.560 3.224
Pm 5.265 3.040 2.150
Gd 0.000 0.000 0.000
Si 2.633 1.520 1.075
```

Values from the calculation:
As for the space group: No. 216. The calculation puts the formation energy from raw total energies at -135 kJ/mol of formula units. The total energy comes out at -28.0 eV for the cell shown.

***

HfAuNCl2: optimized geometry, GGA-PBE.

```
5
Lattice="5.513 0.000 0.000 0.000 3.624 0.000 0.000 0.000 5.513" Properties=species:S:1:pos:R:3 pbc="T T T"
Cl 0.000 0.000 2.756
Cl 2.756 0.000 0.000
Hf 2.756 1.812 2.756
Au 0.000 1.812 0.000
N 0.000 0.000 0.000
```

Values from the calculation:
As for the space group: No. 123. The calculation puts the formation energy from raw total energies at 435 kJ/mol of formula units. The total energy comes out at -20.7 eV for the cell shown.